No. 1
A geometry-optimized PmNbN2O structure. Source: the Open Quantum Materials Database, functional PBE-GGA.

a = 4.0889 Å, b = 4.0889 Å, c = 3.9641 Å
α = 90.00°, β = 90.00°, γ = 90.00°
Space group P4/mmm (No. 123)
Asymmetric unit:
Pm  0.0000  0.0000  0.0000 x1
Nb  0.5000  0.5000  0.5000 x1
N  0.0000  0.5000  0.5000 x2
O  0.5000  0.5000  0.0000 x1

Summary:
* uncorrected energy: -8.81 eV/atom
* total magnetic moment: 0.0 μB per cell

No. 2
A geometry-optimized PmNbN2O structure. Source: the Open Quantum Materials Database, functional PBE-GGA.

a = 7.8588 Å, b = 5.7597 Å, c = 5.7421 Å
α = 90.00°, β = 90.00°, γ = 90.00°
Space group Pmc2_1 (No. 26)
Asymmetric unit:
Pm  0.0000  0.2320  0.0000 x2
Pm  0.5000  0.2681  0.0041 x2
Nb  0.2499  0.2500  0.4952 x4
N  0.1921  0.0039  0.2752 x4
N  0.3077  0.4989  0.2781 x4
O  0.0000  0.3584  0.5422 x2
O  0.5000  0.1418  0.5391 x2

Summary:
* uncorrected energy: -9.01 eV/atom
* total magnetic moment: 0.0 μB per cell

What are the density values for these records? In order: 7.06, 7.20 Mg/m³.